# Ba2ZnPt, optimized geometry, DFT GGA-PBE
data_Ba2ZnPt
_chemical_formula_sum 'Ba2 Zn1 Pt1'
_cell_length_a 8.7482
_cell_length_b 8.7482
_cell_length_c 8.7482
_cell_angle_alpha 30.39
_cell_angle_beta 30.39
_cell_angle_gamma 30.39
_space_group_name_H-M_alt 'P 1'
_space_group_IT_number 1
loop_
_space_group_symop_operation_xyz
'x,y,z'
loop_
_atom_site_label
_atom_site_type_symbol
_atom_site_fract_x
_atom_site_fract_y
_atom_site_fract_z
Ba1 Ba 0.0000 0.0000 0.0000
Ba2 Ba 0.1672 0.1672 0.1672
Zn1 Zn 0.7504 0.7504 0.7504
Pt1 Pt 0.4165 0.4165 0.4165
# Formation enthalpy at 0 K: -54.34 kJ per mole of atoms
# SG: No. 160

# TbEr2Tm6, optimized geometry, DFT GGA-PBE
data_TbEr2Tm6
_chemical_formula_sum 'Tb1 Er2 Tm6'
_cell_length_a 3.5448
_cell_length_b 3.5448
_cell_length_c 25.5099
_cell_angle_alpha 90.00
_cell_angle_beta 90.00
_cell_angle_gamma 120.00
_space_group_name_H-M_alt 'P 1'
_space_group_IT_number 1
loop_
_space_group_symop_operation_xyz
'x,y,z'
loop_
_atom_site_label
_atom_site_type_symbol
_atom_site_fract_x
_atom_site_fract_y
_atom_site_fract_z
Tb1 Tb 0.0000 0.0000 0.0000
Er1 Er 0.3333 0.6667 0.3272
Er2 Er 0.3333 0.6667 0.6728
Tm1 Tm 0.0000 0.0000 0.2182
Tm2 Tm 0.0000 0.0000 0.4347
Tm3 Tm 0.0000 0.0000 0.5653
Tm4 Tm 0.0000 0.0000 0.7818
Tm5 Tm 0.3333 0.6667 0.1103
Tm6 Tm 0.3333 0.6667 0.8897
# Polymorph energy (0 for the lowest one): 0 meV/atom
# Formation enthalpy at 0 K: 4.30 kJ per mole of atoms
# SG: No. 187

# RbAgSbSe2, optimized geometry, DFT GGA-PBE
data_RbAgSbSe2
_chemical_formula_sum 'Rb2 Ag2 Sb2 Se4'
_cell_length_a 8.3411
_cell_length_b 8.3411
_cell_length_c 6.4509
_cell_angle_alpha 90.00
_cell_angle_beta 90.00
_cell_angle_gamma 136.85
_space_group_name_H-M_alt 'P 1'
_space_group_IT_number 1
loop_
_space_group_symop_operation_xyz
'x,y,z'
loop_
_atom_site_label
_atom_site_type_symbol
_atom_site_fract_x
_atom_site_fract_y
_atom_site_fract_z
Rb1 Rb 0.2500 0.7500 0.7514
Rb2 Rb 0.7500 0.2500 0.2486
Ag1 Ag 0.0000 0.0000 0.0000
Ag2 Ag 0.5000 0.5000 0.0000
Sb1 Sb 0.2500 0.2500 0.5000
Sb2 Sb 0.7500 0.7500 0.5000
Se1 Se 0.1294 0.8706 0.2405
Se2 Se 0.3706 0.6294 0.2405
Se3 Se 0.6294 0.3706 0.7595
Se4 Se 0.8706 0.1294 0.7595
# ΔE_f (raw): -0.3342 eV per atom
# SG: No. 67

# Be3SnAs, optimized geometry, DFT GGA-PBE
data_Be3SnAs
_chemical_formula_sum 'Be3 Sn1 As1'
_cell_length_a 4.5820
_cell_length_b 4.5820
_cell_length_c 4.5820
_cell_angle_alpha 90.00
_cell_angle_beta 90.00
_cell_angle_gamma 90.00
_space_group_name_H-M_alt 'P 1'
_space_group_IT_number 1
loop_
_space_group_symop_operation_xyz
'x,y,z'
loop_
_atom_site_label
_atom_site_type_symbol
_atom_site_fract_x
_atom_site_fract_y
_atom_site_fract_z
Be1 Be 0.0000 0.0000 0.5000
Be2 Be 0.0000 0.5000 0.0000
Be3 Be 0.5000 0.0000 0.0000
Sn1 Sn 0.0000 0.0000 0.0000
As1 As 0.5000 0.5000 0.5000
# Polymorph energy (0 for the lowest one): 473 meV/atom
# Formation enthalpy at 0 K: 117.68 kJ per mole of atoms
# SG: No. 221

# Tl2HgAs, optimized geometry, DFT GGA-PBE
data_Tl2HgAs
_chemical_formula_sum 'Tl2 Hg1 As1'
_cell_length_a 6.0972
_cell_length_b 6.0972
_cell_length_c 6.1633
_cell_angle_alpha 109.67
_cell_angle_beta 109.67
_cell_angle_gamma 31.55
_space_group_name_H-M_alt 'P 1'
_space_group_IT_number 1
loop_
_space_group_symop_operation_xyz
'x,y,z'
loop_
_atom_site_label
_atom_site_type_symbol
_atom_site_fract_x
_atom_site_fract_y
_atom_site_fract_z
Tl1 Tl 0.0000 0.0000 0.0000
Tl2 Tl 0.1917 0.1917 0.6373
Hg1 Hg 0.4273 0.4273 0.4697
As1 As 0.7403 0.7403 0.1029
# Polymorph energy (0 for the lowest one): 67 meV/atom
# Formation enthalpy at 0 K: 10.48 kJ per mole of atoms
# SG: No. 8

# Na2Sb7Pd12, optimized geometry, DFT GGA-PBE
data_Na2Sb7Pd12
_chemical_formula_sum 'Na2 Sb7 Pd12'
_cell_length_a 10.6971
_cell_length_b 10.6971
_cell_length_c 4.2127
_cell_angle_alpha 90.00
_cell_angle_beta 90.00
_cell_angle_gamma 120.00
_space_group_name_H-M_alt 'P 1'
_space_group_IT_number 1
loop_
_space_group_symop_operation_xyz
'x,y,z'
loop_
_atom_site_label
_atom_site_type_symbol
_atom_site_fract_x
_atom_site_fract_y
_atom_site_fract_z
Na1 Na 0.3333 0.6667 0.2412
Na2 Na 0.6667 0.3333 0.7588
Sb1 Sb 0.0000 0.0000 0.5000
Sb2 Sb 0.1200 0.7086 0.7393
Sb3 Sb 0.2914 0.4114 0.7393
Sb4 Sb 0.4114 0.1200 0.2607
Sb5 Sb 0.5886 0.8800 0.7393
Sb6 Sb 0.7086 0.5886 0.2607
Sb7 Sb 0.8800 0.2914 0.2607
Pd1 Pd 0.0535 0.4335 0.7542
Pd2 Pd 0.1137 0.2576 0.2286
Pd3 Pd 0.1440 0.8863 0.2286
Pd4 Pd 0.2576 0.1440 0.7714
Pd5 Pd 0.3801 0.9465 0.7542
Pd6 Pd 0.4335 0.3801 0.2458
Pd7 Pd 0.5665 0.6199 0.7542
Pd8 Pd 0.6199 0.0535 0.2458
Pd9 Pd 0.7424 0.8560 0.2286
Pd10 Pd 0.8560 0.1137 0.7714
Pd11 Pd 0.8863 0.7424 0.7714
Pd12 Pd 0.9465 0.5665 0.2458
# ΔE_f (raw): -0.4499 eV per atom
# SG: No. 147